Entry 1:
DFT (PBE-GGA) results for crystalline Ba8Bi3SeI4 at its relaxed geometry.

```
Ba8Bi3SeI4
1.0
5.057 2.920 8.313
-5.057 2.920 8.313
0.000 -5.840 8.313
Ba Bi Se I
8 3 1 4
Cartesian
0.000 0.000 6.036 Ba
-2.485 -1.435 14.289 Ba
0.000 -2.869 10.650 Ba
-2.485 1.435 10.650 Ba
2.485 -1.435 14.289 Ba
0.000 2.869 14.289 Ba
2.485 1.435 10.650 Ba
0.000 0.000 18.903 Ba
-5.057 0.000 12.470 Bi
-2.529 1.460 4.157 Bi
2.529 1.460 4.157 Bi
0.000 0.000 12.470 Se
0.000 0.000 0.000 I
-2.529 -1.460 8.313 I
-2.529 1.460 16.626 I
0.000 2.920 8.313 I
```

## Properties
As for the space group: R-3m (166). For the formation energy (no corrections), the calculation gives -1409.2 meV per atom.


Entry 2:
DFT (PBE-GGA) results for crystalline Ac3SiPd at its relaxed geometry.

```
Ac3SiPd
1.0
4.408 0.000 0.000
0.000 10.363 0.000
0.000 0.000 7.106
Ac Si Pd
6 2 2
Cartesian
1.102 0.580 1.667 Ac
1.102 2.591 5.165 Ac
1.102 4.602 1.667 Ac
3.306 5.761 5.439 Ac
3.306 7.772 1.941 Ac
3.306 9.784 5.439 Ac
1.102 7.772 6.788 Si
3.306 2.591 0.318 Si
1.102 7.772 4.187 Pd
3.306 2.591 2.919 Pd
```

## Properties
As for the space group: Pmmn (59). For the formation energy (no corrections), the calculation gives -489.0 meV per atom.


Entry 3:
DFT (PBE-GGA) results for crystalline CuSnI6 at its relaxed geometry.

```
CuSnI6
1.0
4.296 -4.947 0.000
4.296 4.947 0.000
-1.411 0.000 7.938
Cu Sn I
1 1 6
Cartesian
0.000 0.000 0.000 Cu
-0.705 0.000 3.969 Sn
1.938 3.242 6.148 I
5.243 3.242 1.790 I
1.808 0.000 5.974 I
5.373 0.000 1.964 I
1.938 -3.242 6.148 I
5.243 -3.242 1.790 I
```

## Properties
As for the space group: C2/m (12). For the formation energy (no corrections), the calculation gives -139.5 meV per atom.


Entry 4:
DFT (PBE-GGA) results for crystalline Pm9NdSm2 at its relaxed geometry.

```
Pm9NdSm2
1.0
11.534 0.000 0.000
-5.767 9.988 0.000
0.000 0.000 3.572
Pm Nd Sm
9 1 2
Cartesian
-2.883 4.994 0.000 Pm
0.000 3.488 1.786 Pm
-2.746 8.244 1.786 Pm
3.020 1.744 1.786 Pm
5.767 0.000 0.000 Pm
2.883 4.994 0.000 Pm
2.746 8.244 1.786 Pm
8.513 1.744 1.786 Pm
5.767 6.501 1.786 Pm
0.000 0.000 0.000 Nd
0.000 6.659 0.000 Sm
5.767 3.329 0.000 Sm
```

## Properties
As for the space group: P6/mmm (191). The value obtained for the excess energy over the best structure of this formula in the dataset is 0.26 eV per formula unit. Its calculated formation energy is 0.85 kcal/mol of atoms.


Entry 5:
DFT (PBE-GGA) results for crystalline NdPaF at its relaxed geometry.

```
NdPaF
1.0
6.417 -1.738 0.000
6.417 1.738 0.000
-2.633 0.000 6.563
Nd Pa F
2 2 2
Cartesian
0.906 0.000 2.016 Nd
9.294 0.000 4.547 Nd
-0.043 0.000 5.816 Pa
10.243 0.000 0.748 Pa
5.160 0.000 1.847 F
5.040 0.000 4.717 F
```

## Properties
As for the space group: C2/m (12). For the formation energy (no corrections), the calculation gives -1169.4 meV per atom.


Entry 6:
DFT (PBE-GGA) results for crystalline Ac4Pr2Ho3 at its relaxed geometry.

```
Ac4Pr2Ho3
1.0
5.885 -2.703 0.000
5.885 2.703 0.000
-3.363 0.000 10.758
Ac Pr Ho
4 2 3
Cartesian
-1.053 0.000 3.601 Ac
3.548 0.000 1.207 Ac
4.859 0.000 9.552 Ac
9.460 0.000 7.158 Ac
1.279 0.000 8.303 Pr
7.129 0.000 2.455 Pr
0.000 0.000 0.000 Ho
2.442 0.000 4.840 Ho
5.965 0.000 5.919 Ho
```

## Properties
As for the space group: C2/m (12). Its calculated formation energy is 1.16 kcal/mol of atoms.


Quick rundown of ρ, same order as above: 5.2, 8.3, 4.6, 7.1, 8.9, 8.2 g cm⁻³
Quick rundown of total moment, same order as above: 0.000, 0.000, 0.000, 0.000, 0.000, 0.000 Bohr magnetons per cell